CdCoF | PBE+U | relaxed

It has space group P1 (No. 1), with a = 2.904 Å, b = 4.825 Å, c = 7.627 Å, α = 80.87°, β = 79.22° and γ = 89.17°. The inequivalent atoms are Cd at (0.000, 0.000, 0.000), Cd at (0.275, 0.779, 0.403), Co at (0.529, 0.506, 0.908), Co at (0.874, 0.466, 0.187), F at (0.116, 0.665, 0.713) and F at (0.760, 0.164, 0.413).

Its polymorph energy (0 for the lowest one) is 49 meV/atom. The value obtained for the calculated volume is 17.27 Å³ per atom. The total energy comes out at -19.89 eV/cell. The total magnetization comes out at 2.048 μB per formula unit.